This record from the Open Quantum Materials Database describes a relaxed In2Ir3Se2 crystal. The functional is PBE.

Geometry as POSCAR:
```
In2Ir3Se2
1.0
2.8722 1.6583 4.7463
-2.8722 1.6583 4.7463
0.0000 -3.3166 4.7463
In Ir Se
2 3 2
Cartesian
0.0000 0.0000 0.0000
0.0000 0.0000 7.1195
-1.4361 -0.8291 4.7463
-1.4361 0.8291 9.4927
0.0000 1.6583 4.7463
0.0000 0.0000 2.9628
0.0000 0.0000 11.2762
```

ρ in g cm⁻³: 11.80
Calculated total energy in eV per cell: -40.33

This record from the Open Quantum Materials Database describes a relaxed InSi2Ir crystal. The functional is PBE.

Geometry as POSCAR:
```
InSi2Ir
1.0
0.0000 3.2117 3.2117
3.2117 0.0000 3.2117
3.2117 3.2117 0.0000
In Si Ir
1 2 1
Cartesian
0.0000 0.0000 0.0000
3.2117 3.2117 3.2117
4.8175 4.8175 4.8175
1.6058 1.6058 1.6058
```

ρ in g cm⁻³: 9.10
Calculated total energy in eV per cell: -20.99

This record from the Open Quantum Materials Database describes a relaxed InSiIr4 crystal. The functional is PBE.

Geometry as POSCAR:
```
InSiIr4
1.0
3.9975 0.0000 0.0000
0.0000 3.9975 0.0000
0.0000 0.0000 6.4971
In Si Ir
1 1 4
Cartesian
0.0000 0.0000 0.0000
1.9988 1.9988 3.2486
0.0000 1.9988 1.8750
0.0000 1.9988 4.6221
1.9988 0.0000 1.8750
1.9988 0.0000 4.6221
```

ρ in g cm⁻³: 14.58
Calculated total energy in eV per cell: -43.06

This record from the Open Quantum Materials Database describes a relaxed SmInIr crystal. The functional is PBE.

Geometry as POSCAR:
```
SmInIr
1.0
8.4422 0.0000 0.0000
-4.2211 7.3112 0.0000
0.0000 0.0000 3.1731
Sm In Ir
3 3 3
Cartesian
-1.2862 2.2277 0.0000
2.5723 0.0000 0.0000
2.9350 5.0835 0.0000
0.0000 0.0000 1.5865
0.0000 4.8741 0.0000
4.2211 2.4371 0.0000
-2.5643 4.4416 1.5865
1.6568 2.8696 1.5865
5.1287 0.0000 1.5865
```

ρ in g cm⁻³: 11.63
Calculated total energy in eV per cell: -49.84

This record from the Open Quantum Materials Database describes a relaxed SmInIr crystal. The functional is PBE.

Geometry as POSCAR:
```
SmInIr
1.0
0.0000 3.3426 3.3426
3.3426 0.0000 3.3426
3.3426 3.3426 0.0000
Sm In Ir
1 1 1
Cartesian
0.0000 0.0000 0.0000
5.0140 5.0140 5.0140
3.3426 3.3426 3.3426
```

ρ in g cm⁻³: 10.17
Calculated total energy in eV per cell: -16.07

This record from the Open Quantum Materials Database describes a relaxed SmInIr crystal. The functional is PBE.

Geometry as POSCAR:
```
SmInIr
1.0
0.0000 3.4213 3.4213
3.4213 0.0000 3.4213
3.4213 3.4213 0.0000
Sm In Ir
1 1 1
Cartesian
0.0000 0.0000 0.0000
5.1320 5.1320 5.1320
1.7107 1.7107 1.7107
```

ρ in g cm⁻³: 9.48
Calculated total energy in eV per cell: -15.58

This record from the Open Quantum Materials Database describes a relaxed Sm2InIr2 crystal. The functional is PBE.

Geometry as POSCAR:
```
Sm2InIr2
1.0
5.1539 -2.8009 0.0000
5.1539 2.8009 0.0000
-2.2912 0.0000 7.9105
Sm In Ir
4 2 4
Cartesian
1.7069 1.9112 6.7429
5.1641 1.9112 5.1228
2.8525 -1.9112 2.7877
6.3097 -1.9112 1.1675
4.5811 0.8576 1.9776
3.4355 -0.8576 5.9328
2.5650 0.8437 3.8835
6.5973 0.8437 0.0717
1.4194 -0.8437 7.8388
5.4517 -0.8437 4.0269
```

ρ in g cm⁻³: 11.63
Calculated total energy in eV per cell: -66.76

This record from the Open Quantum Materials Database describes a relaxed SmInIr crystal. The functional is PBE.

Geometry as POSCAR:
```
SmInIr
1.0
7.1712 0.0000 0.0000
-3.5856 6.2105 0.0000
0.0000 0.0000 4.4737
Sm In Ir
3 3 3
Cartesian
-2.0034 3.4700 0.0000
1.5822 2.7405 0.0000
4.0068 0.0000 0.0000
0.0000 0.0000 0.0000
0.0000 4.1403 2.2369
3.5856 2.0701 2.2369
-0.8443 1.4624 2.2369
1.6887 0.0000 2.2369
2.7413 4.7480 2.2369
```

ρ in g cm⁻³: 11.44
Calculated total energy in eV per cell: -52.42

This record from the Open Quantum Materials Database describes a relaxed SmIn2Ir crystal. The functional is PBE.

Geometry as POSCAR:
```
SmIn2Ir
1.0
2.2067 -5.1774 0.0000
2.2067 5.1774 0.0000
0.0000 0.0000 8.1373
Sm In Ir
2 4 2
Cartesian
2.2067 4.4496 6.1029
2.2067 -4.4496 2.0343
2.2067 1.4995 4.4843
2.2067 1.4995 7.7216
2.2067 -1.4995 0.4156
2.2067 -1.4995 3.6530
2.2067 2.9100 2.0343
2.2067 -2.9100 6.1029
```

ρ in g cm⁻³: 10.22
Calculated total energy in eV per cell: -42.39

This record from the Open Quantum Materials Database describes a relaxed SmInIr crystal. The functional is PBE.

Geometry as POSCAR:
```
SmInIr
1.0
7.5710 0.0000 0.0000
-3.7855 6.5567 0.0000
0.0000 0.0000 4.0477
Sm In Ir
3 3 3
Cartesian
-2.2391 3.8782 0.0000
1.5464 2.6785 0.0000
4.4782 0.0000 0.0000
-0.9586 1.6604 2.0239
1.9173 0.0000 2.0239
2.8269 4.8963 2.0239
0.0000 0.0000 0.0000
0.0000 4.3711 2.0239
3.7855 2.1856 2.0239
```

ρ in g cm⁻³: 11.34
Calculated total energy in eV per cell: -54.92

This record from the Open Quantum Materials Database describes a relaxed SmInIr crystal. The functional is PBE.

Geometry as POSCAR:
```
SmInIr
1.0
7.5463 0.0000 0.0000
-3.7731 6.5353 0.0000
0.0000 0.0000 4.0598
Sm In Ir
3 3 3
Cartesian
-2.2292 3.8611 0.0000
1.5439 2.6742 0.0000
4.4584 0.0000 0.0000
-0.9549 1.6539 2.0299
1.9097 0.0000 2.0299
2.8183 4.8814 2.0299
0.0000 0.0000 0.0000
0.0000 4.3568 2.0299
3.7731 2.1784 2.0299
```

ρ in g cm⁻³: 11.38
Calculated total energy in eV per cell: -54.92

This record from the Open Quantum Materials Database describes a relaxed SrInSnIr2 crystal. The functional is PBE.

Geometry as POSCAR:
```
SrInSnIr2
1.0
4.5182 0.0000 0.0000
0.0000 4.5179 0.0000
-0.0487 0.0000 11.1094
Sr In Sn Ir
2 2 2 4
Cartesian
1.0925 1.1295 2.7107
3.3770 3.3884 8.3987
1.1046 3.3884 5.5547
3.3648 1.1295 5.5547
1.1034 1.1295 9.7091
3.3661 3.3884 1.4003
1.1126 3.3884 0.0000
1.1061 1.1295 7.0895
3.3634 3.3884 4.0198
3.4056 1.1295 0.0000
```

ρ in g cm⁻³: 10.33
Calculated total energy in eV per cell: -56.23

This record from the Open Quantum Materials Database describes a relaxed SrInSnIr2 crystal. The functional is PBE.

Geometry as POSCAR:
```
SrInSnIr2
1.0
4.5010 0.0000 0.0000
0.0000 4.5010 0.0000
0.0000 0.0000 11.2129
Sr In Sn Ir
2 2 2 4
Cartesian
1.1253 1.1253 2.7518
3.3758 3.3758 8.4611
1.1253 3.3758 5.6065
3.3758 1.1253 5.6065
1.1253 1.1253 9.7976
3.3758 3.3758 1.4153
1.1253 1.1253 7.1662
1.1253 3.3758 0.0000
3.3758 1.1253 0.0000
3.3758 3.3758 4.0467
```

ρ in g cm⁻³: 10.32
Calculated total energy in eV per cell: -56.24

This record from the Open Quantum Materials Database describes a relaxed Y3In2SnIr3 crystal. The functional is PBE.

Geometry as POSCAR:
```
Y3In2SnIr3
1.0
3.9592 0.0000 0.0000
0.0000 6.5427 3.7476
0.0000 -6.5427 3.7476
Y In Sn Ir
3 2 1 3
Cartesian
0.0000 0.0000 0.0000
0.0000 -2.6590 2.9285
0.0000 2.6590 2.9285
1.9796 -1.6857 5.4248
1.9796 1.6857 5.4248
1.9796 0.0000 2.5274
0.0000 0.0000 4.3999
1.9796 -4.3818 4.4824
1.9796 4.3818 4.4824
```

ρ in g cm⁻³: 10.19
Calculated total energy in eV per cell: -62.10

This record from the Open Quantum Materials Database describes a relaxed Zn2InSnIr4 crystal. The functional is PBE.

Geometry as POSCAR:
```
Zn2InSnIr4
1.0
4.4544 0.0000 0.0000
0.0000 4.4544 0.0000
0.0000 0.0000 6.2977
Zn In Sn Ir
2 1 1 4
Cartesian
0.0000 0.0000 0.0000
2.2272 2.2272 3.1489
0.0000 0.0000 3.1489
2.2272 2.2272 0.0000
0.0000 2.2272 1.5499
0.0000 2.2272 4.7478
2.2272 0.0000 1.5499
2.2272 0.0000 4.7478
```

ρ in g cm⁻³: 15.06
Calculated total energy in eV per cell: -45.83

This record from the Open Quantum Materials Database describes a relaxed SrIn8Ir2 crystal. The functional is PBE.

Geometry as POSCAR:
```
SrIn8Ir2
1.0
14.0255 0.0000 0.0000
0.0000 16.3369 0.0000
0.0000 0.0000 4.4342
Sr In Ir
4 32 8
Cartesian
2.2126 2.9536 0.0000
4.8001 11.1221 0.0000
9.2254 5.2149 0.0000
11.8129 13.3834 0.0000
0.0000 0.0000 0.0000
0.0000 8.1685 2.2171
0.2688 14.1528 2.2171
0.7191 5.1728 2.2171
1.4068 12.2045 0.0000
2.2427 7.4471 0.0000
2.3438 10.1662 2.2171
2.3796 0.1891 2.2171
3.3663 13.4361 2.2171
3.6465 5.2676 2.2171
4.6332 8.3576 2.2171
4.6689 1.9977 2.2171
4.7701 15.6156 0.0000
5.6060 4.0360 0.0000
6.2937 13.3413 2.2171
6.7440 5.9843 2.2171
7.0128 0.0000 2.2171
7.0128 8.1685 0.0000
7.2815 10.3527 2.2171
7.7318 2.9957 2.2171
8.4195 12.3009 0.0000
9.2554 0.7213 0.0000
9.3566 14.3392 2.2171
9.3923 7.9794 2.2171
10.3790 11.0693 2.2171
10.6592 2.9009 2.2171
11.6459 16.1478 2.2171
11.6817 6.1708 2.2171
11.7828 8.8898 0.0000
12.6187 4.1324 0.0000
13.3064 11.1641 2.2171
13.7567 2.1842 2.2171
0.4842 9.7413 0.0000
2.1603 14.7613 0.0000
4.8524 6.5929 0.0000
6.5285 1.5728 0.0000
7.4970 14.7641 0.0000
9.1731 9.7441 0.0000
11.8652 1.5756 0.0000
13.5413 6.5957 0.0000
```

ρ in g cm⁻³: 9.09
Calculated total energy in eV per cell: -176.48

This record from the Open Quantum Materials Database describes a relaxed SrIn2Ir crystal. The functional is PBE.

Geometry as POSCAR:
```
SrIn2Ir
1.0
2.1884 -5.5179 0.0000
2.1884 5.5179 0.0000
0.0000 0.0000 8.1252
Sr In Ir
2 4 2
Cartesian
2.1884 4.8327 6.0939
2.1884 -4.8327 2.0313
2.1884 1.6944 4.4911
2.1884 1.6944 7.6966
2.1884 -1.6944 0.4285
2.1884 -1.6944 3.6341
2.1884 3.1051 2.0313
2.1884 -3.1051 6.0939
```

ρ in g cm⁻³: 8.62
Calculated total energy in eV per cell: -35.32

This record from the Open Quantum Materials Database describes a relaxed SrInIr crystal. The functional is PBE.

Geometry as POSCAR:
```
SrInIr
1.0
0.0000 3.5155 3.5155
3.5155 0.0000 3.5155
3.5155 3.5155 0.0000
Sr In Ir
1 1 1
Cartesian
0.0000 0.0000 0.0000
5.2732 5.2732 5.2732
1.7577 1.7577 1.7577
```

ρ in g cm⁻³: 7.54
Calculated total energy in eV per cell: -11.25

This record from the Open Quantum Materials Database describes a relaxed SrIn6Ir crystal. The functional is PBE.

Geometry as POSCAR:
```
SrIn6Ir
1.0
8.5767 0.0000 0.0000
0.0000 4.3750 0.0000
0.0000 0.0000 10.7108
Sr In Ir
2 12 2
Cartesian
2.1442 0.0000 2.2063
6.4325 0.0000 8.5045
0.0000 0.0000 5.3554
0.0000 2.1875 0.0000
0.5109 2.1875 7.7169
2.1442 0.0000 9.6272
2.1442 2.1875 4.8891
3.7774 2.1875 7.7169
4.2883 0.0000 5.3554
4.2883 2.1875 0.0000
4.7992 2.1875 2.9939
6.4325 0.0000 1.0836
6.4325 2.1875 5.8217
8.0658 2.1875 2.9939
2.1442 0.0000 6.8862
6.4325 0.0000 3.8246
```

ρ in g cm⁻³: 8.01
Calculated total energy in eV per cell: -58.26

This record from the Open Quantum Materials Database describes a relaxed SrIn2Ir2 crystal. The functional is PBE.

Geometry as POSCAR:
```
SrIn2Ir2
1.0
-2.2695 2.2695 5.5760
2.2695 -2.2695 5.5760
2.2695 2.2695 -5.5760
Sr In Ir
1 2 2
Cartesian
0.0000 0.0000 0.0000
2.2695 0.0000 2.7880
0.0000 2.2695 2.7880
0.0000 0.0000 4.3522
0.0000 0.0000 6.7997
```

ρ in g cm⁻³: 10.14
Calculated total energy in eV per cell: -26.46